The following is a DFT calculation (PBE) of a relaxed structure of LiZrInFe.

## Properties
Energy   -83.729 eV per cell
ΔE to the lowest computed polymorph   236 meV per atom

Lattice parameters (Å, degrees): 6.5647 6.5647 6.5647 90.00 90.00 90.00
With the nearest neighbours (Å) after each atom.
Space group F-43m (No. 216)
Unique sites:
Li1 0.0000 0.0000 0.0000 (multiplicity 4)  4 Fe 2.84, 4 Zr 2.84
Zr1 0.2500 0.2500 0.2500 (multiplicity 4)  4 Li 2.84, 4 In 2.84
In1 0.0000 0.0000 0.5000 (multiplicity 4)  4 Zr 2.84, 4 Fe 2.84
Fe1 0.2500 0.2500 0.7500 (multiplicity 4)  4 In 2.84, 4 Li 2.84



The following is a DFT calculation (PBE) of a relaxed structure of TmSiHO4.

## Properties
Energy   -103.563 eV per cell
ΔE to the lowest computed polymorph   77 meV per atom

Lattice parameters (Å, degrees): 4.4379 6.5806 4.7902 90.00 97.08 90.00
With the nearest neighbours (Å) after each atom.
Space group P2_1/m (No. 11)
Unique sites:
Tm1 0.0709 0.2500 0.1944 (multiplicity 2)  6 O 2.17-2.41
Si1 0.4282 0.7500 0.3145 (multiplicity 2)  4 O 1.60-1.67
H1 0.5000 0.0000 0.0000 (multiplicity 2)  2 O 1.23
O1 0.2049 0.2500 0.6803 (multiplicity 2)  1 Si 1.63
O2 0.2842 0.5550 0.1182 (multiplicity 4)  1 H 1.23
O3 0.3609 0.7500 0.6346 (multiplicity 2)  1 Si 1.60



The following is a DFT calculation (PBE) of a relaxed structure of DyZnNO.

## Properties
Energy   -50.309 eV per cell
ΔE to the lowest computed polymorph   106 meV per atom

Lattice parameters (Å, degrees): 3.6659 3.6659 7.7555 90.00 90.00 90.00
With the nearest neighbours (Å) after each atom.
Space group P4/nmm (No. 129, origin choice 2)
Unique sites:
Dy1 0.2500 0.2500 0.1537 (multiplicity 2)  4 O 2.19
Zn1 0.2500 0.7500 0.5000 (multiplicity 2)  4 N 2.15
N1 0.2500 0.2500 0.6456 (multiplicity 2)  4 Zn 2.15
O1 0.2500 0.7500 0.0000 (multiplicity 2)  4 Dy 2.19



The following is a DFT calculation (PBE) of a relaxed structure of U2Sb4Au.

## Properties
Energy   -44.321 eV per cell

Lattice parameters (Å, degrees): 4.3608 4.3608 9.6624 90.00 90.00 90.00
With the nearest neighbours (Å) after each atom.
Space group P-4m2 (No. 115)
Unique sites:
U1 0.0000 0.5000 0.2476 (multiplicity 2)  8 Sb 3.16-3.27, 2 Au 3.24
Sb1 0.0000 0.0000 0.5000 (multiplicity 1)  4 Sb 3.08, 4 U 3.27
Sb2 0.0000 0.5000 0.8218 (multiplicity 2)  2 Au 2.78
Sb3 0.5000 0.5000 0.5000 (multiplicity 1)  4 Sb 3.08, 4 U 3.27
Au1 0.5000 0.5000 0.0000 (multiplicity 1)  4 Sb 2.78



The following is a DFT calculation (PBE) of a relaxed structure of GdY3C2Se2.

## Properties
Energy   -58.638 eV per cell

Lattice parameters (Å, degrees): 3.7746 3.7746 13.3290 90.00 90.00 120.00
With the nearest neighbours (Å) after each atom.
Space group P3m1 (No. 156)
Unique sites:
Gd1 0.0000 0.0000 0.0000 (multiplicity 1)  3 C 2.56
Y1 0.0000 0.0000 0.2999 (multiplicity 1)  3 C 2.56
Y2 0.3333 0.6667 0.4997 (multiplicity 1)  3 C 2.55
Y3 0.3333 0.6667 0.7981 (multiplicity 1)  3 C 2.56
C1 0.6667 0.3333 0.4002 (multiplicity 1)  6 Y 2.55-2.56
C2 0.6667 0.3333 0.8989 (multiplicity 1)  3 Y 2.56, 3 Gd 2.56
Se1 0.0000 0.0000 0.6496 (multiplicity 1)  6 Y 2.94-2.96
Se2 0.3333 0.6667 0.1517 (multiplicity 1)  3 Y 2.94, 3 Gd 2.97



The following is a DFT calculation (PBE) of a relaxed structure of Pr3CdCuHg2Pt2.

## Properties
Energy   -75.913 eV per cell

Lattice parameters (Å, degrees): 3.9498 13.5860 7.8048 90.00 90.00 90.00
With the nearest neighbours (Å) after each atom.
Space group Amm2 (No. 38)
Unique sites:
Pr1 0.0000 0.0000 0.0000 (multiplicity 2)  4 Pt 3.07, 1 Cu 3.21, 2 Cd 3.34, 4 Hg 3.43
Pr2 0.0000 0.2084 0.6120 (multiplicity 4)  4 Pt 3.07-3.09, 1 Cu 3.24, 4 Hg 3.32-3.41
Cd1 0.5000 0.0000 0.6541 (multiplicity 2)  2 Cu 2.74, 2 Pt 2.96
Cu1 0.0000 0.0000 0.4112 (multiplicity 2)  2 Cd 2.74, 4 Hg 2.76
Hg1 0.5000 0.1234 0.2872 (multiplicity 4)  2 Cu 2.76, 2 Pt 3.03-3.05
Pt1 0.5000 0.1638 0.9032 (multiplicity 4)  1 Cd 2.96, 2 Hg 3.03-3.05, 6 Pr 3.07-3.09